# 1
DFT (PBE-GGA) results for a geometry-optimized NaSbS2Cl structure.

```
NaSbS2Cl
1.0
5.007 0.000 0.000
0.000 5.007 0.000
0.000 0.000 4.740
Na Sb S Cl
1 1 2 1
Direct
0.000 0.000 0.000 Na
0.500 0.500 0.500 Sb
0.000 0.500 0.000 S
0.500 0.000 0.000 S
0.000 0.000 0.500 Cl
```

Output
Calculated volume ... 23.8 Å³ per atom
E_tot ... -13.8 eV per cell
Total magnetization ... 0.94 μB per cell
SG ... No. 123


# 2
DFT (PBE-GGA) results for a geometry-optimized PuAl2InF8 structure.

```
PuAl2InF8
1.0
3.341 1.929 5.737
-3.341 1.929 5.737
0.000 -3.858 5.737
Pu Al In F
1 2 1 8
Direct
0.000 0.000 0.000 Pu
0.247 0.247 0.247 Al
0.753 0.753 0.753 Al
0.500 0.500 0.500 In
0.097 0.552 0.199 F
0.148 0.148 0.148 F
0.199 0.097 0.552 F
0.448 0.801 0.903 F
0.552 0.199 0.097 F
0.801 0.903 0.448 F
0.852 0.852 0.852 F
0.903 0.448 0.801 F
```

Output
Calculated volume ... 18.5 Å³ per atom
E_tot ... -74.6 eV per cell
Total magnetization ... 6.90 μB per cell
SG ... No. 148


# 3
DFT (PBE-GGA) results for a geometry-optimized Sr3Zn2Pd2 structure.

```
Sr3Zn2Pd2
1.0
6.076 0.000 0.000
0.000 8.313 0.000
0.000 0.000 14.577
Sr Zn Pd
12 8 8
Direct
0.129 0.248 0.250 Sr
0.129 0.252 0.750 Sr
0.359 0.604 0.598 Sr
0.359 0.604 0.902 Sr
0.359 0.896 0.098 Sr
0.359 0.896 0.402 Sr
0.641 0.104 0.598 Sr
0.641 0.104 0.902 Sr
0.641 0.396 0.098 Sr
0.641 0.396 0.402 Sr
0.871 0.748 0.250 Sr
0.871 0.752 0.750 Sr
0.115 0.250 0.000 Zn
0.115 0.250 0.500 Zn
0.343 0.596 0.250 Zn
0.343 0.904 0.750 Zn
0.657 0.096 0.250 Zn
0.657 0.404 0.750 Zn
0.885 0.750 0.000 Zn
0.885 0.750 0.500 Zn
0.134 0.530 0.092 Pd
0.134 0.530 0.408 Pd
0.134 0.970 0.592 Pd
0.134 0.970 0.908 Pd
0.866 0.030 0.092 Pd
0.866 0.030 0.408 Pd
0.866 0.470 0.592 Pd
0.866 0.470 0.908 Pd
```

Output
Calculated volume ... 26.3 Å³ per atom
Formation energy from the elements ... -0.51 eV per atom
Total magnetization ... 0.00 μB per cell
SG ... No. 57


# 4
DFT (PBE-GGA) results for a geometry-optimized Lu2ZnNi structure.

```
Lu2ZnNi
1.0
0.000 3.396 3.396
3.396 0.000 3.396
3.396 3.396 0.000
Lu Zn Ni
2 1 1
Direct
0.250 0.250 0.250 Lu
0.750 0.750 0.750 Lu
0.000 0.000 0.000 Zn
0.500 0.500 0.500 Ni
```

Output
Calculated volume ... 19.6 Å³ per atom
Formation energy from the elements ... -0.40 eV per atom
Total magnetization ... 0.00 μB per cell
SG ... No. 225


Q: Which of these has the lowest calculated volume?
A: PuAl2InF8